BaIn2Rh: relaxed, GGA-PBEsol.

Values from the calculation:
* D(E_F): 0.84 states/eV per atom
* energy of formation: -0.031 eV per atom
* total magnetization: 0.0 μB per formula unit

Cell lengths 5.1304, 5.1304, 5.1304 Å; angles 60.00, 60.00, 60.00 degrees
Fractional coordinates of all 4 atoms:
1 Ba 0.0000 0.0000 0.0000
2 Rh 0.5000 0.5000 0.5000
3 In 0.2500 0.2500 0.2500
4 In 0.7500 0.7500 0.7500